The following is a DFT calculation (GGA-PBE) of a relaxed SrSiAu crystal.

Cell: 4.231 4.266 8.796 Å, 90.00 90.00 90.00°
Space group Imm2 (No. 44)
Asymmetric unit:
Sr1 0.000 0.000 0.000 (multiplicity 2)
Si1 0.000 0.000 0.347 (multiplicity 2)
Au1 0.000 0.000 0.632 (multiplicity 2)


The following is a DFT calculation (GGA-PBE) of a relaxed SrSiAu2 crystal.

Cell: 4.057 5.385 8.454 Å, 90.00 90.00 90.00°
Space group Imm2 (No. 44)
Asymmetric unit:
Sr1 0.000 0.000 0.000 (multiplicity 2)
Si1 0.000 0.500 0.781 (multiplicity 2)
Au1 0.000 0.000 0.441 (multiplicity 2)
Au2 0.000 0.500 0.199 (multiplicity 2)


The following is a DFT calculation (GGA-PBE) of a relaxed Sr2SiAu crystal.

Cell: 3.695 5.508 5.508 Å, 90.00 90.00 90.00°
Space group Pmm2 (No. 25)
Asymmetric unit:
Sr1 0.000 0.000 0.000 (multiplicity 1)
Sr2 0.000 0.500 0.499 (multiplicity 1)
Si1 0.500 0.000 0.500 (multiplicity 1)
Au1 0.500 0.500 0.998 (multiplicity 1)


| no. | ρ (g/cm³) | formation energy without anion corrections (eV/f.u.) |
| --- | --- | --- |
| 1 | 6.54 | -0.3 |
| 2 | 9.16 | -1.1 |
| 3 | 5.93 | -1.9 |